(1)
ScReNF2 | PBE-GGA | relaxed

Calculated values
**Symmetry**: P4/mmm (123)
**Theoretical density**: 6.62 g/cm3
**Electronic total energy**: -6.9239 eV/atom
**Energy above the lowest structure with this stoichiometry**: 0.000 eV/atom
**Crystal system**: tetragonal

abc: 3.9427 3.9427 4.5722
angles: 90.00 90.00 90.00
Last column: nearest neighbours and their distance in Å.
Positions (direct):
Sc  0.0000  0.0000  0.0000  4 F 1.97
Re  0.5000  0.5000  0.5000  4 N 2.79, 8 F 3.02
N  0.0000  0.0000  0.5000  2 Sc 2.29
F  0.0000  0.5000  0.0000  2 Sc 1.97
F  0.5000  0.0000  0.0000  2 Sc 1.97

(2)
ScReN2F | PBE-GGA | relaxed

Calculated values
**Symmetry**: P4/mmm (123)
**Theoretical density**: 7.44 g/cm3
**Electronic total energy**: -7.9687 eV/atom
**Energy above the lowest structure with this stoichiometry**: 0.000 eV/atom
**Crystal system**: tetragonal

abc: 3.9268 3.9268 4.0269
angles: 90.00 90.00 90.00
Last column: nearest neighbours and their distance in Å.
Positions (direct):
Sc  0.0000  0.0000  0.0000  4 F 2.78, 8 N 2.81
Re  0.5000  0.5000  0.5000  4 N 1.96, 2 F 2.01
N  0.0000  0.5000  0.5000  2 Re 1.96
N  0.5000  0.0000  0.5000  2 Re 1.96
F  0.5000  0.5000  0.0000  2 Re 2.01

(3)
ReSiN2F | PBE-GGA | relaxed

Calculated values
**Symmetry**: P4/mmm (123)
**Theoretical density**: 8.91 g/cm3
**Electronic total energy**: -6.8628 eV/atom
**Energy above the lowest structure with this stoichiometry**: 0.095 eV/atom
**Crystal system**: tetragonal

abc: 3.7442 3.7442 3.4725
angles: 90.00 90.00 90.00
Last column: nearest neighbours and their distance in Å.
Positions (direct):
Re  0.0000  0.0000  0.0000  8 N 2.55, 4 F 2.65
Si  0.5000  0.5000  0.5000  2 F 1.74, 4 N 1.87
N  0.0000  0.5000  0.5000  2 Si 1.87
N  0.5000  0.0000  0.5000  2 Si 1.87
F  0.5000  0.5000  0.0000  2 Si 1.74

(4)
ReSiN2F | PBE-GGA | relaxed

Calculated values
**Symmetry**: P4/mmm (123)
**Theoretical density**: 6.86 g/cm3
**Electronic total energy**: -6.9577 eV/atom
**Energy above the lowest structure with this stoichiometry**: 0.000 eV/atom
**Crystal system**: tetragonal

abc: 3.9092 3.9092 4.1396
angles: 90.00 90.00 90.00
Last column: nearest neighbours and their distance in Å.
Positions (direct):
Re  0.0000  0.0000  0.0000  4 N 1.95, 2 F 2.07
Si  0.5000  0.5000  0.5000  4 F 2.76, 8 N 2.85
N  0.0000  0.5000  0.0000  2 Re 1.95
N  0.5000  0.0000  0.0000  2 Re 1.95
F  0.0000  0.0000  0.5000  2 Re 2.07

(5)
ReSnN2F | PBE-GGA | relaxed

Calculated values
**Symmetry**: P4/mmm (123)
**Theoretical density**: 8.42 g/cm3
**Electronic total energy**: -5.8115 eV/atom
**Energy above the lowest structure with this stoichiometry**: 1.252 eV/atom
**Crystal system**: tetragonal

abc: 4.1657 4.1657 3.9989
angles: 90.00 90.00 90.00
Last column: nearest neighbours and their distance in Å.
Positions (direct):
Re  0.0000  0.0000  0.0000  8 N 2.89, 4 F 2.95
Sn  0.5000  0.5000  0.5000  2 F 2.00, 4 N 2.08
N  0.0000  0.5000  0.5000  2 Sn 2.08
N  0.5000  0.0000  0.5000  2 Sn 2.08
F  0.5000  0.5000  0.0000  2 Sn 2.00

(6)
ReSnN2F | PBE-GGA | relaxed

Calculated values
**Symmetry**: P4/mmm (123)
**Theoretical density**: 8.66 g/cm3
**Electronic total energy**: -7.0631 eV/atom
**Energy above the lowest structure with this stoichiometry**: 0.000 eV/atom
**Crystal system**: tetragonal

abc: 3.9418 3.9418 4.3446
angles: 90.00 90.00 90.00
Last column: nearest neighbours and their distance in Å.
Positions (direct):
Re  0.0000  0.0000  0.0000  4 N 1.97, 2 F 2.17
Sn  0.5000  0.5000  0.5000  4 F 2.79, 8 N 2.93
N  0.0000  0.5000  0.0000  2 Re 1.97
N  0.5000  0.0000  0.0000  2 Re 1.97
F  0.0000  0.0000  0.5000  2 Re 2.17

(7)
SrReNF2 | PBE-GGA | relaxed

Calculated values
**Symmetry**: P4/mmm (123)
**Theoretical density**: 7.18 g/cm3
**Electronic total energy**: -6.4586 eV/atom
**Energy above the lowest structure with this stoichiometry**: 0.000 eV/atom
**Crystal system**: tetragonal

abc: 4.4008 4.4008 3.8909
angles: 90.00 90.00 90.00
Last column: nearest neighbours and their distance in Å.
Positions (direct):
Sr  0.0000  0.0000  0.0000  8 F 2.94, 4 N 3.11
Re  0.5000  0.5000  0.5000  2 N 1.95
N  0.5000  0.5000  0.0000  2 Re 1.95
F  0.0000  0.5000  0.5000  2 Re 2.20
F  0.5000  0.0000  0.5000  2 Re 2.20

(8)
SrReNF2 | PBE-GGA | relaxed

Calculated values
**Symmetry**: P4/mmm (123)
**Theoretical density**: 5.22 g/cm3
**Electronic total energy**: -5.2254 eV/atom
**Energy above the lowest structure with this stoichiometry**: 1.233 eV/atom
**Crystal system**: tetragonal

abc: 4.4541 4.4541 5.2207
angles: 90.00 90.00 90.00
Last column: nearest neighbours and their distance in Å.
Positions (direct):
Sr  0.0000  0.0000  0.0000  4 F 2.23
Re  0.5000  0.5000  0.5000  4 N 3.15, 8 F 3.43
N  0.0000  0.0000  0.5000  2 Sr 2.61
F  0.0000  0.5000  0.0000  2 Sr 2.23
F  0.5000  0.0000  0.0000  2 Sr 2.23

(9)
Ta2ReNF | PBE-GGA | relaxed

Calculated values
**Symmetry**: P4/mmm (123)
**Theoretical density**: 13.66 g/cm3
**Electronic total energy**: -8.3443 eV/atom
**Crystal system**: tetragonal

abc: 4.1501 4.1501 4.1006
angles: 90.00 90.00 90.00
Last column: nearest neighbours and their distance in Å.
Positions (direct):
Ta  0.0000  0.5000  0.0000  2 F 2.08
Ta  0.5000  0.0000  0.0000  2 F 2.08
Re  0.0000  0.0000  0.5000  8 Ta 2.92, 4 N 2.93
N  0.5000  0.5000  0.5000  2 F 2.05
F  0.5000  0.5000  0.0000  2 N 2.05, 4 Ta 2.08

(10)
ReTeN2F | PBE-GGA | relaxed

Calculated values
**Symmetry**: P4/mmm (123)
**Theoretical density**: 7.32 g/cm3
**Electronic total energy**: -6.6695 eV/atom
**Energy above the lowest structure with this stoichiometry**: 0.000 eV/atom
**Crystal system**: tetragonal

abc: 3.7954 3.7954 5.6786
angles: 90.00 90.00 90.00
Last column: nearest neighbours and their distance in Å.
Positions (direct):
Re  0.0000  0.0000  0.0000  4 N 1.90
Te  0.0000  0.0000  0.5000  4 F 2.68, 2 Re 2.84
N  0.0000  0.5000  0.0000  2 Re 1.90
N  0.5000  0.0000  0.0000  2 Re 1.90
F  0.5000  0.5000  0.5000  4 Te 2.68

(11)
ReTeN2F | PBE-GGA | relaxed

Calculated values
**Symmetry**: P4/mmm (123)
**Theoretical density**: 8.99 g/cm3
**Electronic total energy**: -6.4308 eV/atom
**Energy above the lowest structure with this stoichiometry**: 0.239 eV/atom
**Crystal system**: tetragonal

abc: 3.9887 3.9887 4.1882
angles: 90.00 90.00 90.00
Last column: nearest neighbours and their distance in Å.
Positions (direct):
Re  0.0000  0.0000  0.0000  4 N 1.99, 2 F 2.09
Te  0.5000  0.5000  0.5000  4 F 2.82, 8 N 2.89
N  0.0000  0.5000  0.0000  2 Re 1.99
N  0.5000  0.0000  0.0000  2 Re 1.99
F  0.0000  0.0000  0.5000  2 Re 2.09

(12)
ReTeN2F | PBE-GGA | relaxed

Calculated values
**Symmetry**: P4/mmm (123)
**Theoretical density**: 7.99 g/cm3
**Electronic total energy**: -5.1673 eV/atom
**Energy above the lowest structure with this stoichiometry**: 1.502 eV/atom
**Crystal system**: tetragonal

abc: 4.2388 4.2388 4.1753
angles: 90.00 90.00 90.00
Last column: nearest neighbours and their distance in Å.
Positions (direct):
Re  0.0000  0.0000  0.0000  8 N 2.97, 4 F 3.00
Te  0.5000  0.5000  0.5000  2 F 2.09, 4 N 2.12
N  0.0000  0.5000  0.5000  2 Te 2.12
N  0.5000  0.0000  0.5000  2 Te 2.12
F  0.5000  0.5000  0.0000  2 Te 2.09

Values of energy relative to the elements, uncorrected, in order: -17.40 -11.72 9.59 7.40 27.28 -1.58 -28.11 0.33 21.35 3.52 9.03 38.17, all in kcal/mol of atoms.
Values of density of states at the Fermi level, in order: 0.8 2.7 1.8 2.3 0.9 1.3 2.6 1.1 3.8 2.6 4.6 2.2, all in states/eV/f.u..